## KTeSe2 (SCAN)

Data for a crystal of KTeSe2 relaxed with PBEsol.

Cell: 4.3590 4.8044 6.0600 Å, 90.00 101.98 90.00°
Closest atoms and distances in Å follow each position.
Fractional positions:
K 0.0000 0.0000 0.0000  7 Se 3.25-3.49
Te 0.3854 0.5000 0.5195  3 Se 2.49-2.71
Se 0.4859 0.5000 0.9397  1 Te 2.49
Se 0.6399 0.0000 0.4547  2 Te 2.71

Properties
- Symmetry: Pm (6)
- Uncorrected formation energy: -0.61 eV per atom
- DFT total energy: -88.2 eV per formula unit

---

## KTeSe (SCAN)

Data for a crystal of KTeSe relaxed with PBEsol.

Cell: 7.2950 7.2950 7.2950 Å, 90.00 90.00 90.00°
Closest atoms and distances in Å follow each position.
Fractional positions:
K 0.0000 0.0000 0.0000  4 Se 3.16, 4 Te 3.16
K 0.0000 0.5000 0.5000  4 Se 3.16, 4 Te 3.16
K 0.5000 0.0000 0.5000  4 Se 3.16, 4 Te 3.16
K 0.5000 0.5000 0.0000  4 Se 3.16, 4 Te 3.16
Te 0.2500 0.2500 0.2500  4 K 3.16
Te 0.2500 0.7500 0.7500  4 K 3.16
Te 0.7500 0.2500 0.7500  4 K 3.16
Te 0.7500 0.7500 0.2500  4 K 3.16
Se 0.2500 0.2500 0.7500  4 K 3.16
Se 0.2500 0.7500 0.2500  4 K 3.16
Se 0.7500 0.2500 0.2500  4 K 3.16
Se 0.7500 0.7500 0.7500  4 K 3.16

Properties
- Symmetry: F-43m (216)
- Uncorrected formation energy: 0.04 eV per atom
- DFT total energy: -65.5 eV per formula unit

---

## KTi2Se (SCAN)

Data for a crystal of KTi2Se relaxed with PBEsol.

Cell: 4.5820 4.5820 18.9025 Å, 90.00 90.00 90.00°
Closest atoms and distances in Å follow each position.
Fractional positions:
K 0.0000 0.2500 0.3750  4 Se 3.24, 8 Ti 3.48
K 0.0000 0.7500 0.6250  4 Se 3.24, 8 Ti 3.48
K 0.5000 0.2500 0.1250  4 Se 3.24, 8 Ti 3.48
K 0.5000 0.7500 0.8750  4 Se 3.24, 8 Ti 3.48
Ti 0.0000 0.0000 0.0000  2 Ti 2.29
Ti 0.0000 0.5000 0.0000  2 Ti 2.29
Ti 0.2500 0.2500 0.7500  2 Ti 2.29
Ti 0.2500 0.7500 0.2500  2 Ti 2.29
Ti 0.5000 0.0000 0.5000  2 Ti 2.29
Ti 0.5000 0.5000 0.5000  2 Ti 2.29
Ti 0.7500 0.2500 0.7500  2 Ti 2.29
Ti 0.7500 0.7500 0.2500  2 Ti 2.29
Se 0.0000 0.2500 0.8750  4 Ti 2.63
Se 0.0000 0.7500 0.1250  4 Ti 2.63
Se 0.5000 0.2500 0.6250  4 Ti 2.63
Se 0.5000 0.7500 0.3750  4 Ti 2.63

Properties
- Symmetry: I4_1/amd (141)
- Uncorrected formation energy: 0.16 eV per atom
- DFT total energy: -59.8 eV per formula unit

---

## KTl2Se (SCAN)

Data for a crystal of KTl2Se relaxed with PBEsol.

Cell: 4.0382 4.0382 7.1891 Å, 90.00 90.00 90.00°
Closest atoms and distances in Å follow each position.
Fractional positions:
K 0.0000 0.0000 0.0000  1 Tl 3.28, 4 Se 3.42
Tl 0.0000 0.0000 0.4566  4 Se 3.18, 4 Tl 3.25, 1 K 3.28
Tl 0.5000 0.5000 0.6728  1 Se 2.96, 4 Tl 3.25
Se 0.5000 0.5000 0.2615  5 Tl 2.96-3.18

Properties
- Symmetry: P4mm (99)
- Uncorrected formation energy: -0.49 eV per atom
- DFT total energy: -175.1 eV per formula unit

---

## KTlSe2 (SCAN)

Data for a crystal of KTlSe2 relaxed with PBEsol.

Cell: 7.6347 7.6347 9.0480 Å, 90.00 90.00 90.00°
Closest atoms and distances in Å follow each position.
Fractional positions:
K 0.0000 0.0000 0.0000  4 Se 3.25
K 0.0000 0.5000 0.2500  4 Se 3.25
K 0.5000 0.0000 0.7500  4 Se 3.25
K 0.5000 0.5000 0.5000  4 Se 3.25
Tl 0.0000 0.0000 0.5000  4 Se 2.65
Tl 0.0000 0.5000 0.7500  4 Se 2.65
Tl 0.5000 0.0000 0.2500  4 Se 2.65
Tl 0.5000 0.5000 0.0000  4 Se 2.65
Se 0.1893 0.2500 0.6250  2 Tl 2.65
Se 0.2500 0.6893 0.8750  2 Tl 2.65
Se 0.2500 0.8107 0.3750  2 Tl 2.65
Se 0.3107 0.2500 0.1250  2 Tl 2.65
Se 0.6893 0.7500 0.1250  2 Tl 2.65
Se 0.7500 0.1893 0.3750  2 Tl 2.65
Se 0.7500 0.3107 0.8750  2 Tl 2.65
Se 0.8107 0.7500 0.6250  2 Tl 2.65

Properties
- Symmetry: I-42d (122)
- Uncorrected formation energy: -0.72 eV per atom
- DFT total energy: -123.7 eV per formula unit

---

## KTlSe2 (SCAN)

Data for a crystal of KTlSe2 relaxed with PBEsol.

Cell: 2.9413 5.8111 6.2074 Å, 90.00 90.00 90.00°
Closest atoms and distances in Å follow each position.
Fractional positions:
K 0.0000 0.0000 0.0000  2 K 2.94, 6 Se 3.10-3.26
Tl 0.5000 0.5000 0.5000  2 Tl 2.94, 6 Se 3.10-3.26
Se 0.0000 0.0000 0.5000  2 Se 2.94, 2 K 3.10, 4 Tl 3.26
Se 0.5000 0.5000 0.0000  2 Se 2.94, 2 Tl 3.10, 4 K 3.26

Properties
- Symmetry: Pmmm (47)
- Uncorrected formation energy: -0.52 eV per atom
- DFT total energy: -122.9 eV per formula unit